## K2LiSbBr6 (GGA-PBE)

Data for a geometry-optimized K2LiSbBr6 structure.

Values from the calculation:
The value obtained for the calculated volume is 1352 Å³/cell. The distance to the lowest polymorph of the same formula comes out at 0.33 eV per formula unit. The uncorrected formation energy is -1217.3 meV/atom.

Cell lengths 11.058, 11.058, 11.058 Å; angles 90.00, 90.00, 90.00 degrees
Space group Fm-3m (No. 225)
Symmetry-distinct sites (fractional):
K1 0.250 0.250 0.250
Li1 0.000 0.000 0.000
Sb1 0.000 0.000 0.500
Br1 0.000 0.000 0.247

## KLi2SbBr6 (GGA-PBE)

Data for a geometry-optimized KLi2SbBr6 structure.

Values from the calculation:
The value obtained for the calculated volume is 1016 Å³/cell. The uncorrected formation energy is -1212.8 meV/atom.

Cell lengths 6.9957, 6.9957, 23.9679 Å; angles 90.00, 90.00, 120.00 degrees
Space group R-3 (No. 148, hexagonal axes)
Symmetry-distinct sites (fractional):
K1 0.0000 0.0000 0.0000
Li1 0.0000 0.0000 0.1704
Sb1 0.0000 0.0000 0.5000
Br1 0.0007 0.3390 0.4350

## KLi2ScBr6 (GGA-PBE)

Data for a geometry-optimized KLi2ScBr6 structure.

Values from the calculation:
The value obtained for the calculated volume is 874 Å³/cell. The uncorrected formation energy is -1617.3 meV/atom.

Cell lengths 7.1529, 7.1529, 19.7253 Å; angles 90.00, 90.00, 120.00 degrees
Space group R3 (No. 146, hexagonal axes)
Symmetry-distinct sites (fractional):
K1 0.0000 0.0000 0.0000
Li1 0.0000 0.0000 0.2002
Li2 0.0000 0.0000 0.7107
Sc1 0.0000 0.0000 0.5185
Br1 0.0084 0.3253 0.4485
Br2 0.0826 0.7342 0.2713

## KLiSc2Br8 (GGA-PBE)

Data for a geometry-optimized KLiSc2Br8 structure.

Values from the calculation:
The value obtained for the calculated volume is 390 Å³/cell. The uncorrected formation energy is -1621.6 meV/atom.

Cell lengths 6.791, 8.205, 7.061 Å; angles 90.00, 97.73, 90.00 degrees
Space group P2/m (No. 10)
Symmetry-distinct sites (fractional):
K1 0.000 0.000 0.000
Li1 0.000 0.500 0.000
Sc1 0.500 0.257 0.500
Br1 0.266 0.278 0.176
Br2 0.280 0.500 0.632
Br3 0.292 0.000 0.625